# PBE Pr3Pd7Pb2, optimized geometry
data_Pr3Pd7Pb2
_chemical_formula_sum 'Pr3 Pd7 Pb2'
_cell_length_a 15.8137
_cell_length_b 15.8137
_cell_length_c 15.8137
_cell_angle_alpha 164.96
_cell_angle_beta 164.96
_cell_angle_gamma 21.34
_symmetry_space_group_name_H-M 'P 1'
_symmetry_Int_Tables_number 1
loop_
_symmetry_equiv_pos_as_xyz
'x,y,z'
loop_
_atom_site_label
_atom_site_fract_x
_atom_site_fract_y
_atom_site_fract_z
Pr1 0.0000 0.0000 0.0000
Pr2 0.1838 0.1838 0.0000
Pr3 0.8162 0.8162 0.0000
Pd1 0.0698 0.5698 0.5000
Pd2 0.2778 0.2778 0.0000
Pd3 0.4302 0.9302 0.5000
Pd4 0.5000 0.5000 0.0000
Pd5 0.5698 0.0698 0.5000
Pd6 0.7222 0.7222 0.0000
Pd7 0.9302 0.4302 0.5000
Pb1 0.3725 0.3725 0.0000
Pb2 0.6275 0.6275 0.0000
# V: 266.3 Å³ per cell
# Space group: I4/mmm, No. 139
# Formation energy from the elements: -6.466 eV/f.u.
# Size of the total moment: 0.0 μB/f.u.

***

# PBE ScReAs3, optimized geometry
data_ScReAs3
_chemical_formula_sum 'Sc1 Re1 As3'
_cell_length_a 4.9080
_cell_length_b 4.9080
_cell_length_c 4.9080
_cell_angle_alpha 90.00
_cell_angle_beta 90.00
_cell_angle_gamma 90.00
_symmetry_space_group_name_H-M 'P 1'
_symmetry_Int_Tables_number 1
loop_
_symmetry_equiv_pos_as_xyz
'x,y,z'
loop_
_atom_site_label
_atom_site_fract_x
_atom_site_fract_y
_atom_site_fract_z
Sc1 0.0000 0.0000 0.0000
Re1 0.5000 0.5000 0.5000
As1 0.0000 0.0000 0.5000
As2 0.0000 0.5000 0.0000
As3 0.5000 0.0000 0.0000
# V: 118.2 Å³ per cell
# Space group: Pm-3m, No. 221
# Energy above the most stable polymorph in this dataset: 1.004 eV/atom
# Formation energy from the elements: 7.038 eV/f.u.
# Size of the total moment: 0.3 μB/f.u.

***

# PBE TlSn3, optimized geometry
data_TlSn3
_chemical_formula_sum 'Tl2 Sn6'
_cell_length_a 7.7348
_cell_length_b 7.7348
_cell_length_c 5.0356
_cell_angle_alpha 90.00
_cell_angle_beta 90.00
_cell_angle_gamma 127.71
_symmetry_space_group_name_H-M 'P 1'
_symmetry_Int_Tables_number 1
loop_
_symmetry_equiv_pos_as_xyz
'x,y,z'
loop_
_atom_site_label
_atom_site_fract_x
_atom_site_fract_y
_atom_site_fract_z
Tl1 0.2122 0.7878 0.7500
Tl2 0.7878 0.2122 0.2500
Sn1 0.1617 0.2999 0.7500
Sn2 0.2999 0.1617 0.2500
Sn3 0.3735 0.6265 0.2500
Sn4 0.6265 0.3735 0.7500
Sn5 0.7001 0.8383 0.7500
Sn6 0.8383 0.7001 0.2500
# V: 238.3 Å³ per cell
# Space group: Cmcm, No. 63
# Energy above the most stable polymorph in this dataset: 0.025 eV/atom
# Formation energy from the elements: 0.225 eV/f.u.
# Size of the total moment: 0.0 μB/f.u.